Entry 1:
Entry from Alexandria via LeMat-Bulk: a relaxed TeAs2AuSe crystal (PBE-GGA).

a b c (Å): 5.050 5.050 5.089
angles (deg): 90.00 90.00 90.00
Sites, in units of the cell vectors:
Te 0.000 0.000 0.000
As 0.000 0.500 0.500
As 0.500 0.000 0.500
Au 0.500 0.500 0.500
Se 0.500 0.500 0.000

Summary:
For the uncorrected formation energy, the calculation gives 68.64 kJ per mole of atoms. The final energy comes out at -3.13 eV per atom. Its space-group type is No. 123. The energy above the most stable polymorph in this dataset comes out at 0.000 eV per atom. The magnetic moment comes out at 0.000 Bohr magnetons per cell.

***

Entry 2:
Entry from Alexandria via LeMat-Bulk: a relaxed Th6As3AuSe2 crystal (PBE-GGA).

a b c (Å): 7.353 7.353 7.396
angles (deg): 99.58 99.58 119.97
Sites, in units of the cell vectors:
Th 0.081 0.414 0.244
Th 0.251 0.251 0.757
Th 0.414 0.081 0.244
Th 0.586 0.919 0.756
Th 0.749 0.749 0.243
Th 0.919 0.586 0.756
As 0.000 0.000 0.000
As 0.333 0.667 0.000
As 0.667 0.333 0.000
Au 0.500 0.500 0.500
Se 0.167 0.833 0.500
Se 0.833 0.167 0.500

Summary:
For the uncorrected formation energy, the calculation gives -126.82 kJ per mole of atoms. The final energy comes out at -7.04 eV per atom. Its space-group type is No. 12. The magnetic moment comes out at 0.000 Bohr magnetons per cell.

***

Entry 3:
Entry from Alexandria via LeMat-Bulk: a relaxed Th8As4AuSe3 crystal (PBE-GGA).

a b c (Å): 8.507 8.507 8.507
angles (deg): 59.80 59.80 59.80
Sites, in units of the cell vectors:
Th 0.248 0.248 0.248
Th 0.248 0.748 0.748
Th 0.252 0.252 0.752
Th 0.252 0.752 0.252
Th 0.748 0.248 0.748
Th 0.748 0.748 0.248
Th 0.752 0.252 0.252
Th 0.752 0.752 0.752
As 0.000 0.000 0.500
As 0.000 0.500 0.000
As 0.500 0.000 0.000
As 0.500 0.500 0.500
Au 0.000 0.000 0.000
Se 0.000 0.500 0.500
Se 0.500 0.000 0.500
Se 0.500 0.500 0.000

Summary:
For the uncorrected formation energy, the calculation gives -131.94 kJ per mole of atoms. The final energy comes out at -7.10 eV per atom. Its space-group type is No. 166. The magnetic moment comes out at 0.000 Bohr magnetons per cell.

***

Entry 4:
Entry from Alexandria via LeMat-Bulk: a relaxed Th4AsAuSe2 crystal (PBE-GGA).

a b c (Å): 7.326 4.244 7.461
angles (deg): 90.00 109.41 90.00
Sites, in units of the cell vectors:
Th 0.246 0.000 0.245
Th 0.246 0.500 0.750
Th 0.754 0.000 0.755
Th 0.754 0.500 0.250
As 0.000 0.500 0.000
Au 0.000 0.000 0.500
Se 0.500 0.000 0.000
Se 0.500 0.500 0.500

Summary:
For the uncorrected formation energy, the calculation gives -121.46 kJ per mole of atoms. The final energy comes out at -6.83 eV per atom. Its space-group type is No. 10. The magnetic moment comes out at 0.000 Bohr magnetons per cell.

***

Entry 5:
Entry from Alexandria via LeMat-Bulk: a relaxed Th8As3AuSe4 crystal (PBE-GGA).

a b c (Å): 8.454 8.454 8.454
angles (deg): 60.57 60.57 60.57
Sites, in units of the cell vectors:
Th 0.246 0.750 0.750
Th 0.248 0.248 0.248
Th 0.250 0.250 0.754
Th 0.250 0.754 0.250
Th 0.750 0.246 0.750
Th 0.750 0.750 0.246
Th 0.752 0.752 0.752
Th 0.754 0.250 0.250
As 0.000 0.000 0.500
As 0.000 0.500 0.000
As 0.500 0.000 0.000
Au 0.500 0.500 0.500
Se 0.000 0.000 0.000
Se 0.000 0.500 0.500
Se 0.500 0.000 0.500
Se 0.500 0.500 0.000

Summary:
For the uncorrected formation energy, the calculation gives -132.77 kJ per mole of atoms. The final energy comes out at -7.03 eV per atom. Its space-group type is No. 166. The magnetic moment comes out at 0.000 Bohr magnetons per cell.

***

Entry 6:
Entry from Alexandria via LeMat-Bulk: a relaxed Th4As2AuSe crystal (PBE-GGA).

a b c (Å): 7.379 4.208 7.469
angles (deg): 90.00 109.08 90.00
Sites, in units of the cell vectors:
Th 0.248 0.000 0.243
Th 0.250 0.500 0.754
Th 0.750 0.500 0.246
Th 0.752 0.000 0.757
As 0.000 0.500 0.000
As 0.500 0.000 0.000
Au 0.000 0.000 0.500
Se 0.500 0.500 0.500

Summary:
For the uncorrected formation energy, the calculation gives -118.09 kJ per mole of atoms. The final energy comes out at -6.94 eV per atom. Its space-group type is No. 10. The magnetic moment comes out at 0.000 Bohr magnetons per cell.

***

Entry 7:
Entry from Alexandria via LeMat-Bulk: a relaxed TiAs2AuSe crystal (PBE-GGA).

a b c (Å): 4.916 4.916 4.813
angles (deg): 90.00 90.00 90.00
Sites, in units of the cell vectors:
Ti 0.000 0.000 0.000
As 0.000 0.500 0.000
As 0.500 0.000 0.000
Au 0.500 0.500 0.500
Se 0.000 0.000 0.500

Summary:
For the uncorrected formation energy, the calculation gives 20.33 kJ per mole of atoms. The final energy comes out at -4.58 eV per atom. Its space-group type is No. 123. The energy above the most stable polymorph in this dataset comes out at 0.000 eV per atom. The magnetic moment comes out at 0.000 Bohr magnetons per cell.

***

Entry 8:
Entry from Alexandria via LeMat-Bulk: a relaxed TiAsAuSe2 crystal (PBE-GGA).

a b c (Å): 5.073 5.073 4.892
angles (deg): 90.00 90.00 90.00
Sites, in units of the cell vectors:
Ti 0.000 0.000 0.000
As 0.500 0.500 0.000
Au 0.500 0.500 0.500
Se 0.000 0.500 0.500
Se 0.500 0.000 0.500

Summary:
For the uncorrected formation energy, the calculation gives 70.34 kJ per mole of atoms. The final energy comes out at -3.83 eV per atom. Its space-group type is No. 123. The energy above the most stable polymorph in this dataset comes out at 0.623 eV per atom. The magnetic moment comes out at 0.160 Bohr magnetons per cell.

***

Entry 9:
Entry from Alexandria via LeMat-Bulk: a relaxed TiAsAuSe2 crystal (PBE-GGA).

a b c (Å): 4.867 4.867 4.984
angles (deg): 90.00 90.00 90.00
Sites, in units of the cell vectors:
Ti 0.000 0.000 0.000
As 0.000 0.000 0.500
Au 0.500 0.500 0.500
Se 0.000 0.500 0.000
Se 0.500 0.000 0.000

Summary:
For the uncorrected formation energy, the calculation gives 10.23 kJ per mole of atoms. The final energy comes out at -4.45 eV per atom. Its space-group type is No. 123. The energy above the most stable polymorph in this dataset comes out at 0.000 eV per atom. The magnetic moment comes out at 0.000 Bohr magnetons per cell.

***

Entry 10:
Entry from Alexandria via LeMat-Bulk: a relaxed Tm4AsAuSe2 crystal (PBE-GGA).

a b c (Å): 7.062 3.996 7.138
angles (deg): 90.00 108.50 90.00
Sites, in units of the cell vectors:
Tm 0.244 0.000 0.242
Tm 0.251 0.500 0.755
Tm 0.749 0.500 0.245
Tm 0.756 0.000 0.758
As 0.000 0.500 0.000
Au 0.500 0.000 0.000
Se 0.000 0.000 0.500
Se 0.500 0.500 0.500

Summary:
For the uncorrected formation energy, the calculation gives -136.14 kJ per mole of atoms. The final energy comes out at -5.51 eV per atom. Its space-group type is No. 10. The magnetic moment comes out at 0.000 Bohr magnetons per cell.

***

Entry 11:
Entry from Alexandria via LeMat-Bulk: a relaxed Tm6AsAu2Se3 crystal (PBE-GGA).

a b c (Å): 9.387 9.387 8.316
angles (deg): 108.61 108.61 24.49
Sites, in units of the cell vectors:
Tm 0.010 0.010 0.249
Tm 0.333 0.333 0.880
Tm 0.340 0.340 0.389
Tm 0.660 0.660 0.611
Tm 0.667 0.667 0.120
Tm 0.990 0.990 0.751
As 0.500 0.500 0.000
Au 0.183 0.183 0.383
Au 0.817 0.817 0.617
Se 0.159 0.159 0.861
Se 0.500 0.500 0.500
Se 0.841 0.841 0.139

Summary:
For the uncorrected formation energy, the calculation gives -133.36 kJ per mole of atoms. The final energy comes out at -5.42 eV per atom. Its space-group type is No. 12. The magnetic moment comes out at 0.000 Bohr magnetons per cell.

***

Entry 12:
Entry from Alexandria via LeMat-Bulk: a relaxed As2WAuSe crystal (PBE-GGA).

a b c (Å): 4.907 4.907 5.059
angles (deg): 90.00 90.00 90.00
Sites, in units of the cell vectors:
As 0.000 0.500 0.000
As 0.500 0.000 0.000
W 0.000 0.000 0.500
Au 0.500 0.500 0.000
Se 0.500 0.500 0.500

Summary:
For the uncorrected formation energy, the calculation gives 151.38 kJ per mole of atoms. The final energy comes out at -4.23 eV per atom. Its space-group type is No. 123. The energy above the most stable polymorph in this dataset comes out at 0.969 eV per atom. The magnetic moment comes out at 2.437 Bohr magnetons per cell.

***

Entry 13:
Entry from Alexandria via LeMat-Bulk: a relaxed As2WAuSe crystal (PBE-GGA).

a b c (Å): 4.951 4.951 4.791
angles (deg): 90.00 90.00 90.00
Sites, in units of the cell vectors:
As 0.000 0.500 0.000
As 0.500 0.000 0.000
W 0.000 0.000 0.000
Au 0.500 0.500 0.500
Se 0.000 0.000 0.500

Summary:
For the uncorrected formation energy, the calculation gives 57.87 kJ per mole of atoms. The final energy comes out at -5.20 eV per atom. Its space-group type is No. 123. The energy above the most stable polymorph in this dataset comes out at 0.000 eV per atom. The magnetic moment comes out at 0.000 Bohr magnetons per cell.